Y2AlPt: optimized geometry, PBE.

The value obtained for the total energy is -6.530 eV/atom. As for the theoretical density: 7035 kg/m³. The density of states at the Fermi level is 5.08 states/eV per cell.

It has space group P2_1/m (No. 11), with a = 5.9899 Å, b = 4.4210 Å, c = 7.6382 Å, α = 90.00°, β = 111.06° and γ = 90.00°. The distinct sites, in fractional coordinates, are Y at (0.1757, 0.2500, 0.4112), Y at (0.2637, 0.7500, 0.0708), Al at (0.3810, 0.7500, 0.7133) and Pt at (0.1684, 0.2500, 0.7903).